# Ni3HO, optimized geometry, DFT PBE+U
# - Total DFT energy (no corrections): -2.836 eV/atom
# - Symmetry: Pm-3m (221)
data_Ni3HO
_space_group_name_H-M_alt 'P 1'
_space_group_IT_number 1
_space_group_name_Hall 'P 1'
_cell_length_a 3.597
_cell_length_b 3.597
_cell_length_c 3.597
_cell_angle_alpha 90.00
_cell_angle_beta 90.00
_cell_angle_gamma 90.00
loop_
_atom_site_label
_atom_site_type_symbol
_atom_site_fract_x
_atom_site_fract_y
_atom_site_fract_z
Ni1 Ni 0.000 0.500 0.000
Ni2 Ni 0.000 0.000 0.500
Ni3 Ni 0.500 0.000 0.000
O1 O 0.500 0.500 0.500
H1 H 0.000 0.000 0.000